Here is an optimized crystal structure of TbFe2F8 from the Alexandria database. Energies are from PBE with a Hubbard U.

```
data_TbFe2F8
_chemical_formula_sum 'Tb2 Fe4 F16'
_space_group_name_H-M_alt 'C 1 2/m 1'
_space_group_IT_number 12
_cell_length_a 8.767
_cell_length_b 6.596
_cell_length_c 5.322
_cell_angle_alpha 90.00
_cell_angle_beta 103.35
_cell_angle_gamma 90.00
loop_
_space_group_symop_operation_xyz
'x,y,z'
'-x,-y,-z'
'-x,y,-z'
'x,-y,z'
'x+1/2,y+1/2,z'
'-x+1/2,-y+1/2,-z'
'-x+1/2,y+1/2,-z'
'x+1/2,-y+1/2,z'
loop_
_atom_site_label
_atom_site_fract_x
_atom_site_fract_y
_atom_site_fract_z
Tb1 0.000 0.000 0.000
Fe1 0.171 0.500 0.443
F1 0.065 0.500 0.737
F2 0.144 0.198 0.307
F3 0.179 0.000 0.782
```

## Properties
As for the total energy: -126.6 eV/cell.